NaMgZnPd | PBE | relaxed

Lattice parameters (Å, degrees): 4.6312 4.6312 4.6312 60.00 60.00 60.00
Atoms (fractional coordinates):
Zn (0.7500, 0.7500, 0.7500)
Na (0.0000, 0.0000, 0.0000)
Mg (0.2500, 0.2500, 0.2500)
Pd (0.5000, 0.5000, 0.5000)

Results
**V**: 17.56 Å³ per atom
**Energy of formation**: -0.228 eV per atom
**Density**: 5.18 g cm⁻³
**VASP energy**: -10.292 eV/cell

NbInPtO6 | PBE | relaxed

Lattice parameters (Å, degrees): 4.7977 4.7977 9.6527 90.00 90.00 90.00
Atoms (fractional coordinates):
O (0.2964, 0.2964, 0.3200)
O (0.7964, 0.2036, 0.8200)
O (0.1806, 0.8194, 0.5024)
O (0.3194, 0.3194, 0.0024)
O (0.6982, 0.6982, 0.6750)
O (0.1982, 0.8018, 0.1750)
O (0.8194, 0.1806, 0.5024)
O (0.7036, 0.7036, 0.3200)
O (0.3018, 0.3018, 0.6750)
O (0.8018, 0.1982, 0.1750)
O (0.6806, 0.6806, 0.0024)
O (0.2036, 0.7964, 0.8200)
In (0.5000, 0.5000, 0.5004)
In (0.0000, 0.0000, 0.0004)
Pt (0.5000, 0.5000, 0.8327)
Pt (0.0000, 0.0000, 0.3327)
Nb (0.0000, 0.0000, 0.6719)
Nb (0.5000, 0.5000, 0.1719)

Results
**V**: 12.34 Å³ per atom
**Density**: 7.46 g cm⁻³
**VASP energy**: -124.941 eV/cell
**E_form (uncorrected)**: -1.54 eV per atom

NiRh2Cl | PBE | relaxed

Lattice parameters (Å, degrees): 4.4374 4.4374 6.2357 87.79 87.79 36.91
Atoms (fractional coordinates):
Ni (0.2018, 0.2018, 0.1853)
Cl (0.6984, 0.6984, 0.4684)
Rh (0.9334, 0.9334, 0.9992)
Rh (0.6663, 0.6663, 0.8471)

Results
**V**: 18.42 Å³ per atom
**Density**: 6.76 g cm⁻³
**VASP energy**: -21.102 eV/cell
**Excess energy over the best structure of this formula in the dataset**: 85 meV per atom
**E_form (uncorrected)**: 0.31 eV per atom

Mg3Ni | PBE | relaxed

Lattice parameters (Å, degrees): 6.7931 6.7931 6.8759 90.00 90.00 90.00
Atoms (fractional coordinates):
Mg (0.0000, 0.5000, 0.5000)
Mg (0.8366, 0.8366, 0.2456)
Mg (0.5000, 0.0000, 0.5000)
Mg (0.6634, 0.3366, 0.7456)
Mg (0.8366, 0.8366, 0.7544)
Mg (0.5000, 0.0000, 0.0000)
Mg (0.0000, 0.5000, 0.0000)
Mg (0.6634, 0.3366, 0.2544)
Mg (0.1634, 0.1634, 0.7544)
Mg (0.3366, 0.6634, 0.2544)
Mg (0.3366, 0.6634, 0.7456)
Mg (0.1634, 0.1634, 0.2456)
Ni (0.1277, 0.8723, 0.5000)
Ni (0.8723, 0.1277, 0.5000)
Ni (0.6277, 0.6277, 0.0000)
Ni (0.3723, 0.3723, 0.0000)

Results
**V**: 19.83 Å³ per atom
**Energy of formation**: -0.106 eV per atom
**Density**: 2.76 g cm⁻³
**VASP energy**: -43.952 eV/cell

BeCoAg2 | PBE | relaxed

Lattice parameters (Å, degrees): 4.3218 4.3218 2.9597 90.00 90.00 90.00
Each line ends with the local moment (μB).
Atoms (fractional coordinates):
Ag (0.0000, 0.0000, 0.0000)  -0.02
Ag (0.5000, 0.5000, 0.0000)  -0.02
Co (0.0000, 0.5000, 0.5000)  1.50
Be (0.5000, 0.0000, 0.5000)  -0.01

Results
**V**: 13.82 Å³ per atom
**Energy of formation**: 0.404 eV per atom
**Density**: 8.52 g cm⁻³
**VASP energy**: -14.918 eV/cell

Question: Which value of V does entry 1 give?
Answer: 17.56 Å³ per atom

Question: What is the formula in the first record?
Answer: NaMgZnPd

Question: Which of these has the highest density?
Answer: BeCoAg2